RbYSbTe2 GGA-PBE relaxed; theoretical density = 4.356 Mg/m³; distance to the lowest polymorph of the same formula = 0.000 eV per atom; final energy = -4.15 eV per atom
1.0
5.9633 0.0000 0.0000
0.0000 5.9633 0.0000
0.0000 0.0000 5.9108
Rb Te Sb Y
1 2 1 1
direct
0.5000 0.5000 0.5000
0.0000 0.5000 0.0000
0.5000 0.0000 0.0000
0.0000 0.0000 0.5000
0.0000 0.0000 0.0000

RbYSb2Te GGA-PBE relaxed; theoretical density = 4.571 Mg/m³; distance to the lowest polymorph of the same formula = 1.249 eV per atom; final energy = -2.87 eV per atom
1.0
-3.3664 -2.7896 3.7606
4.4112 -0.3361 3.6994
-1.6225 5.2034 2.4074
Te Y Rb Sb
1 1 1 2
direct
0.0000 0.0000 0.5000
0.5000 0.5000 0.5000
0.0000 0.0000 0.0000
0.5000 0.0000 0.0000
0.0000 0.5000 0.0000

RbYSbTe2 GGA-PBE relaxed; theoretical density = 4.418 Mg/m³; distance to the lowest polymorph of the same formula = 1.621 eV per atom; final energy = -2.53 eV per atom
1.0
-4.3299 4.2763 0.2015
-2.6434 -2.8654 4.0059
3.1679 3.0077 4.2419
Sb Y Rb Te
1 1 1 2
direct
0.5000 0.5000 0.5000
0.0000 0.5000 0.0000
0.0000 0.0000 0.0000
0.5000 0.0000 0.0000
0.0000 0.0000 0.5000

RbYSb2Te GGA-PBE relaxed; theoretical density = 4.376 Mg/m³; distance to the lowest polymorph of the same formula = 0.000 eV per atom; final energy = -4.12 eV per atom
1.0
5.8847 0.0000 0.0000
0.0000 5.8847 0.0000
0.0000 0.0000 5.9780
Rb Te Y Sb
1 1 1 2
direct
0.5000 0.5000 0.5000
0.0000 0.0000 0.5000
0.0000 0.0000 0.0000
0.5000 0.0000 0.0000
0.0000 0.5000 0.0000

RbYSbTe2 GGA-PBE relaxed; theoretical density = 4.461 Mg/m³; distance to the lowest polymorph of the same formula = 1.313 eV per atom; final energy = -2.84 eV per atom
1.0
5.9952 0.0000 0.0000
0.0000 5.9952 0.0000
0.0000 0.0000 5.7098
Sb Te Rb Y
1 2 1 1
direct
0.0000 0.0000 0.5000
0.0000 0.5000 0.0000
0.5000 0.0000 0.0000
0.0000 0.0000 0.0000
0.5000 0.5000 0.5000

Rb3YSb2Te6 GGA-PBE relaxed; theoretical density = 4.889 Mg/m³; final energy = -3.85 eV per atom
1.0
-1.9879 7.0752 2.8646
-5.4320 -4.4859 -3.5477
0.5327 -4.4462 7.7302
Te Sb Rb Y
6 2 3 1
direct
0.7320 0.7320 0.1970
0.0655 0.3992 0.1967
0.9345 0.6008 0.8033
0.2680 0.2680 0.8030
0.6008 0.9345 0.8033
0.3992 0.0655 0.1967
0.3334 0.6666 0.0000
0.6666 0.3334 0.0000
0.1676 0.8324 0.5000
0.5000 0.5000 0.5000
0.8324 0.1676 0.5000
0.0000 0.0000 0.0000

RbZnSb2Te GGA-PBE relaxed; theoretical density = 3.414 Mg/m³; distance to the lowest polymorph of the same formula = 1.228 eV per atom; final energy = -1.43 eV per atom
1.0
-3.1072 1.5022 -5.3036
2.0319 -5.3473 -2.7051
-5.1356 -3.0382 2.1482
Zn Sb Te Rb
1 2 1 1
direct
0.5000 0.5000 0.5000
0.5000 0.0000 0.0000
0.0000 0.5000 0.0000
0.0000 0.0000 0.5000
0.0000 0.0000 0.0000

RbZnSb2Te GGA-PBE relaxed; theoretical density = 5.221 Mg/m³; distance to the lowest polymorph of the same formula = 0.000 eV per atom; final energy = -2.66 eV per atom
1.0
5.3481 0.0000 0.0000
0.0000 5.3481 0.0000
0.0000 0.0000 5.8041
Zn Te Sb Rb
1 1 2 1
direct
0.0000 0.0000 0.0000
0.0000 0.0000 0.5000
0.5000 0.0000 0.0000
0.0000 0.5000 0.0000
0.5000 0.5000 0.5000

RbZnSbTe3 GGA-PBE relaxed; theoretical density = 4.793 Mg/m³; final energy = -3.14 eV per atom
1.0
-0.1097 -2.0318 -3.9523
5.3863 -7.7113 3.8148
-10.3075 -2.1059 1.3687
Te Zn Rb Sb
6 2 2 2
direct
0.7500 0.8756 0.1296
0.7500 0.1973 0.5348
0.2500 0.5421 0.8436
0.2500 0.1244 0.8704
0.2500 0.8027 0.4652
0.7500 0.4579 0.1564
0.7500 0.9178 0.3915
0.2500 0.0822 0.6085
0.7500 0.8024 0.7558
0.2500 0.1976 0.2442
0.2500 0.6651 0.1304
0.7500 0.3349 0.8696

RbZnSbTe2 GGA-PBE relaxed; theoretical density = 5.210 Mg/m³; distance to the lowest polymorph of the same formula = 0.000 eV per atom; final energy = -2.59 eV per atom
1.0
5.6822 0.0000 0.0000
0.0000 5.6822 0.0000
0.0000 0.0000 5.2105
Rb Zn Te Sb
1 1 2 1
direct
0.5000 0.5000 0.5000
0.0000 0.0000 0.0000
0.5000 0.0000 0.0000
0.0000 0.5000 0.0000
0.0000 0.0000 0.5000

RbZnSbTe2 GGA-PBE relaxed; theoretical density = 3.396 Mg/m³; distance to the lowest polymorph of the same formula = 1.195 eV per atom; final energy = -1.40 eV per atom
1.0
6.3950 0.0000 0.0000
0.0000 6.3108 0.0000
0.0000 0.0000 6.3950
Te Rb Sb Zn
2 1 1 1
direct
0.5000 0.0000 0.0000
0.0000 0.0000 0.5000
0.0000 0.0000 0.0000
0.0000 0.5000 0.0000
0.5000 0.5000 0.5000

RbZrSb2Te GGA-PBE relaxed; theoretical density = 4.963 Mg/m³; distance to the lowest polymorph of the same formula = 0.000 eV per atom; final energy = -4.52 eV per atom
1.0
5.6469 0.0000 0.0000
0.0000 5.6469 0.0000
0.0000 0.0000 5.7481
Sb Zr Te Rb
2 1 1 1
direct
0.5000 0.0000 0.0000
0.0000 0.5000 0.0000
0.0000 0.0000 0.0000
0.0000 0.0000 0.5000
0.5000 0.5000 0.5000

RbZrSbTe2 GGA-PBE relaxed; theoretical density = 4.958 Mg/m³; distance to the lowest polymorph of the same formula = 0.000 eV per atom; final energy = -4.51 eV per atom
1.0
-3.3444 4.4200 1.4449
-4.4397 -3.5643 0.6271
1.3647 -0.7438 5.4343
Sb Te Zr Rb
1 2 1 1
direct
0.0000 0.0000 0.5000
0.0000 0.5000 0.0000
0.5000 0.0000 0.0000
0.0000 0.0000 0.0000
0.5000 0.5000 0.5000

RbZrSbTe2 GGA-PBE relaxed; theoretical density = 3.852 Mg/m³; distance to the lowest polymorph of the same formula = 0.748 eV per atom; final energy = -3.76 eV per atom
1.0
-4.0500 -0.6505 -3.7329
1.4724 -7.6130 -0.2709
-3.6400 -0.8498 4.0974
Rb Zr Sb Te
1 1 1 2
direct
0.0000 0.5000 0.0000
0.0000 0.0000 0.0000
0.5000 0.5000 0.5000
0.5000 0.0000 0.0000
0.0000 0.0000 0.5000

RbZrSb2Te GGA-PBE relaxed; theoretical density = 4.663 Mg/m³; distance to the lowest polymorph of the same formula = 1.840 eV per atom; final energy = -2.68 eV per atom
1.0
5.7423 0.0000 0.0000
0.0000 5.7423 0.0000
0.0000 0.0000 5.9166
Sb Rb Te Zr
2 1 1 1
direct
0.5000 0.0000 0.0000
0.0000 0.5000 0.0000
0.0000 0.0000 0.0000
0.0000 0.0000 0.5000
0.5000 0.5000 0.5000

RbZrSbTe2 GGA-PBE relaxed; theoretical density = 4.575 Mg/m³; distance to the lowest polymorph of the same formula = 1.923 eV per atom; final energy = -2.59 eV per atom
1.0
5.9355 0.0000 0.0000
0.0000 5.9355 0.0000
0.0000 0.0000 5.7034
Sb Zr Rb Te
1 1 1 2
direct
0.0000 0.0000 0.5000
0.5000 0.5000 0.5000
0.0000 0.0000 0.0000
0.5000 0.0000 0.0000
0.0000 0.5000 0.0000

Rb3ZrSb2Te6 GGA-PBE relaxed; theoretical density = 5.015 Mg/m³; final energy = -3.87 eV per atom
1.0
7.8679 -0.0036 -0.0003
-3.9352 6.8131 -0.0003
-1.3119 -2.2716 8.3828
Te Rb Zr Sb
6 3 1 2
direct
0.2538 0.2538 0.8081
0.7462 0.7462 0.1919
0.3817 0.0633 0.1902
0.9367 0.6183 0.8098
0.6183 0.9367 0.8098
0.0633 0.3817 0.1902
0.8287 0.1713 0.5000
0.5000 0.5000 0.5000
0.1713 0.8287 0.5000
0.0000 0.0000 0.0000
0.3339 0.6661 0.0000
0.6661 0.3339 0.0000

RbThSb2 GGA-PBE relaxed; theoretical density = 5.696 Mg/m³; distance to the lowest polymorph of the same formula = 0.025 eV per atom; final energy = -4.69 eV per atom
1.0
-3.4085 -2.8689 -1.4766
0.3458 -2.0959 -4.1852
2.9838 -8.2947 1.7687
Sb Th Rb
2 1 1
direct
0.7315 0.7315 0.8056
0.2685 0.2685 0.1944
0.0000 0.0000 0.0000
0.5000 0.5000 0.5000

RbThSb2 GGA-PBE relaxed; theoretical density = 6.516 Mg/m³; distance to the lowest polymorph of the same formula = 0.000 eV per atom; final energy = -4.72 eV per atom
1.0
4.1833 0.0000 0.0000
0.0000 4.1833 0.0000
0.0000 0.0000 8.1701
Sb Rb Th
2 1 1
direct
0.0000 0.0000 0.8131
0.0000 0.0000 0.1869
0.5000 0.5000 0.5000
0.5000 0.5000 0.0000

Rb6TiSb4 GGA-PBE relaxed; theoretical density = 3.356 Mg/m³; final energy = -3.12 eV per atom
1.0
9.0787 0.0000 0.0000
0.0000 9.9449 -5.7417
0.0000 0.0000 11.4834
Sb Rb Ti
8 12 2
direct
0.8377 0.5937 0.7968
0.9566 0.6667 0.3333
0.3377 0.4063 0.2032
0.8377 0.2032 0.7968
0.4566 0.3333 0.6667
0.3377 0.7968 0.5937
0.8377 0.2032 0.4063
0.3377 0.7968 0.2032
0.4521 0.7148 0.8574
0.1380 0.0598 0.5299
0.1380 0.4701 0.9402
0.9521 0.8574 0.1426
0.9521 0.2852 0.1426
0.6380 0.5299 0.0598
0.6380 0.9402 0.4701
0.1380 0.4701 0.5299
0.4521 0.1426 0.8574
0.6380 0.5299 0.4701
0.4521 0.1426 0.2852
0.9521 0.8574 0.7148
0.2521 0.6667 0.3333
0.7521 0.3333 0.6667

E_form (uncorrected)? In order: -2.92 4.45 5.19 -1.79 3.64 -9.74 6.47 0.33 -3.06 -0.30 5.67 -1.71 -2.63 1.11 7.49 6.98 -7.87 -2.13 -2.23 -4.11 eV/f.u..